Entry 1:
Here is a relaxed structure of NaTh2Cl8 from the Alexandria database. Energies are from PBE.

a = 6.939 Å, b = 7.904 Å, c = 7.904 Å
α = 60.32°, β = 98.75°, γ = 98.75°
Positions (direct):
Cl1 0.282 0.364 0.904
Na1 0.000 0.000 0.000
Th1 0.490 0.737 0.737
Cl2 0.718 0.636 0.096
Cl3 0.231 0.858 0.858
Th2 0.510 0.263 0.263
Cl4 0.718 0.096 0.636
Cl5 0.769 0.142 0.142
Cl6 0.258 0.382 0.382
Cl7 0.282 0.904 0.364
Cl8 0.742 0.618 0.618

Properties
Distance to the lowest polymorph of the same formula, eV per atom: 0.013
Space group: C2/m

Entry 2:
Here is a relaxed structure of HfMnS2N from the Alexandria database. Energies are from PBE.

a = 4.607 Å, b = 4.607 Å, c = 3.451 Å
α = 90.00°, β = 90.00°, γ = 90.00°
Positions (direct):
S1 0.000 0.500 0.000
Mn1 0.000 0.000 0.000
Hf1 0.500 0.500 0.500
N1 0.000 0.000 0.500
S2 0.500 0.000 0.000

Properties
Distance to the lowest polymorph of the same formula, eV per atom: 0.000
Space group: P4/mmm

Entry 3:
Here is a relaxed structure of BeNiOs2 from the Alexandria database. Energies are from PBE.

a = 2.789 Å, b = 2.789 Å, c = 6.061 Å
α = 90.00°, β = 90.00°, γ = 90.00°
Positions (direct):
Be1 0.500 0.500 0.250
Ni1 0.500 0.500 0.750
Os1 0.000 0.000 0.026
Os2 0.000 0.000 0.474

Properties
Energy relative to the elements, eV per atom: 0.082
Space group: P4/mmm

Entry 4:
Here is a relaxed structure of RbZrB from the Alexandria database. Energies are from PBE.

a = 8.423 Å, b = 3.996 Å, c = 11.021 Å
α = 90.00°, β = 90.00°, γ = 90.00°
Positions (direct):
Rb1 0.479 0.250 0.686
Zr1 0.635 0.250 0.026
B1 0.625 0.750 0.918
Zr2 0.135 0.250 0.474
Rb2 0.521 0.750 0.314
B2 0.375 0.250 0.082
Zr3 0.865 0.750 0.526
Rb3 0.979 0.250 0.814
Zr4 0.365 0.750 0.974
Rb4 0.021 0.750 0.186
B3 0.875 0.250 0.418
B4 0.125 0.750 0.582

Properties
Energy relative to the elements, eV per atom: 0.686
Distance to the lowest polymorph of the same formula, eV per atom: 0.687
Space group: Pnma

Entry 5:
Here is a relaxed structure of CsIn6Sb2 from the Alexandria database. Energies are from PBE.

a = 5.225 Å, b = 5.225 Å, c = 10.723 Å
α = 90.00°, β = 90.00°, γ = 90.00°
Positions (direct):
Cs1 0.000 0.000 0.000
Sb1 0.500 0.500 0.856
Sb2 0.500 0.500 0.144
In1 0.500 0.000 0.687
In2 0.500 0.000 0.313
In3 0.500 0.500 0.500
In4 0.000 0.500 0.313
In5 0.000 0.500 0.687
In6 0.000 0.000 0.500

Properties
Calculated total energy, eV per atom: -2.921
Space group: P4/mmm

Entry 6:
Here is a relaxed structure of BaFeAg2 from the Alexandria database. Energies are from PBE.

a = 4.068 Å, b = 3.728 Å, c = 6.869 Å
α = 90.00°, β = 90.00°, γ = 90.00°
Positions (direct):
Fe1 0.500 0.625 0.911
Ba1 0.000 0.625 0.485
Ag1 0.000 0.125 0.907
Ag2 0.500 0.125 0.197

Properties
Energy relative to the elements, eV per atom: 0.397
Distance to the lowest polymorph of the same formula, eV per atom: 0.198
Space group: Pmm2

Entry 7:
Here is a relaxed structure of MnOsBr2 from the Alexandria database. Energies are from PBE.

a = 6.118 Å, b = 6.118 Å, c = 6.118 Å
α = 144.23°, β = 144.23°, γ = 51.49°
Positions (direct):
Br1 0.250 0.750 0.500
Mn1 0.500 0.500 0.000
Os1 0.750 0.250 0.500
Br2 0.000 0.000 0.000

Properties
Distance to the lowest polymorph of the same formula, eV per atom: 0.875
Space group: I-4m2

Entry 8:
Here is a relaxed structure of NaSBr from the Alexandria database. Energies are from PBE.

a = 3.798 Å, b = 8.422 Å, c = 10.121 Å
α = 90.00°, β = 90.00°, γ = 90.00°
Positions (direct):
Na1 0.750 0.347 0.130
Na2 0.250 0.653 0.870
S1 0.750 0.496 0.448
Br1 0.250 0.903 0.663
S2 0.750 0.004 0.948
S3 0.250 0.996 0.052
Br2 0.750 0.403 0.837
Na3 0.250 0.847 0.370
Na4 0.750 0.153 0.630
Br3 0.250 0.597 0.163
Br4 0.750 0.097 0.337
S4 0.250 0.504 0.552

Properties
Distance to the lowest polymorph of the same formula, eV per atom: 0.048
Space group: Pnma

Calculated values (μB/atom) of total moment for the records, taken in order: 0.09, 0.12, 0.00, 0.00, 0.00, 0.79, 0.94, 0.00.
Calculated values (A^3/atom) of volume for the records, taken in order: 33.70, 14.65, 11.79, 30.92, 32.53, 26.04, 19.45, 26.98.